# HfSi2NiCl | Alexandria | PBE-GGA | relaxed
data_HfSi2NiCl
_cell_length_a 5.236
_cell_length_b 5.236
_cell_length_c 4.690
_cell_angle_alpha 90.00
_cell_angle_beta 90.00
_cell_angle_gamma 90.00
_space_group_name_H-M_alt 'P 4/m m m'
_space_group_IT_number 123
_space_group_name_Hall '-P 4 2'
loop_
_atom_site_label
_atom_site_type_symbol
_atom_site_fract_x
_atom_site_fract_y
_atom_site_fract_z
Hf1 Hf 0.000 0.000 0.000
Si1 Si 0.000 0.500 0.000
Ni1 Ni 0.000 0.000 0.500
Cl1 Cl 0.500 0.500 0.500
# ΔE_f (raw), kcal/mol of atoms: 24.16
# Theoretical density, Mg/m³: 4.25

# Sr2HfNiCl | Alexandria | PBE-GGA | relaxed
data_Sr2HfNiCl
_cell_length_a 6.038
_cell_length_b 6.038
_cell_length_c 4.627
_cell_angle_alpha 90.00
_cell_angle_beta 90.00
_cell_angle_gamma 90.00
_space_group_name_H-M_alt 'P 4/m m m'
_space_group_IT_number 123
_space_group_name_Hall '-P 4 2'
loop_
_atom_site_label
_atom_site_type_symbol
_atom_site_fract_x
_atom_site_fract_y
_atom_site_fract_z
Sr1 Sr 0.000 0.500 0.000
Hf1 Hf 0.000 0.000 0.500
Ni1 Ni 0.000 0.000 0.000
Cl1 Cl 0.500 0.500 0.500
# ΔE_f (raw), kcal/mol of atoms: -4.31
# Theoretical density, Mg/m³: 4.41

# Hf2TaNiCl | Alexandria | PBE-GGA | relaxed
data_Hf2TaNiCl
_cell_length_a 4.989
_cell_length_b 4.989
_cell_length_c 4.103
_cell_angle_alpha 90.00
_cell_angle_beta 90.00
_cell_angle_gamma 90.00
_space_group_name_H-M_alt 'P 4/m m m'
_space_group_IT_number 123
_space_group_name_Hall '-P 4 2'
loop_
_atom_site_label
_atom_site_type_symbol
_atom_site_fract_x
_atom_site_fract_y
_atom_site_fract_z
Hf1 Hf 0.000 0.500 0.000
Ta1 Ta 0.000 0.000 0.500
Ni1 Ni 0.500 0.500 0.000
Cl1 Cl 0.500 0.500 0.500
# ΔE_f (raw), kcal/mol of atoms: 19.24
# Theoretical density, Mg/m³: 10.28